Below is an optimized crystal structure of MnMo2Cl, with properties calculated at the PBE level.

Cell: 2.8307 4.4516 8.9096 Å, 90.00 90.00 90.00°
Last column: nearest neighbours and their distance in Å.
Space group Imm2 (No. 44)
Inequivalent atoms, fractional coordinates:
Mn (0.0000, 0.0000, 0.0000)  2 Cl 2.41, 4 Mo 2.67
Mo (0.0000, 0.0000, 0.5468)  2 Cl 2.52, 4 Mn 2.67
Mo (0.0000, 0.5000, 0.7582)  4 Cl 2.65, 2 Mn 2.70, 6 Mo 2.83-2.94
Cl (0.0000, 0.5000, 0.2812)  2 Mn 2.41, 6 Mo 2.52-2.65

## Properties
N(E_F) (states/eV per cell): 8.171
Formation energy without anion corrections (kcal/mol of atoms): 13.21
Total moment (μB per formula unit): 1.1
Energy above the most stable polymorph in this dataset (meV per atom): 402


Below is an optimized crystal structure of Ac2NpTe, with properties calculated at the PBE level.

Cell: 3.9758 3.9758 35.0697 Å, 90.00 90.00 120.00°
Last column: nearest neighbours and their distance in Å.
Space group R-3m (No. 166, hexagonal axes)
Inequivalent atoms, fractional coordinates:
Ac (0.0000, 0.0000, 0.0990)  3 Te 3.30, 1 Np 3.47
Np (0.0000, 0.0000, 0.0000)  2 Ac 3.47
Te (0.0000, 0.0000, 0.5000)  6 Ac 3.30

## Properties
N(E_F) (states/eV per cell): 42.121
Formation energy without anion corrections (kcal/mol of atoms): 3.76
Total moment (μB per formula unit): 5.3